(1)
A geometry-optimized Cs2NpOsO6 structure. Source: the Alexandria database, functional PBE-GGA.

## Properties
crystal system: tetragonal
electronic total energy: -149.93 eV for the cell shown
ΔE_f (raw): -1.93 eV/atom

a = 5.8339 Å, b = 5.8339 Å, c = 11.8374 Å
α = 90.00°, β = 90.00°, γ = 90.00°
Closest atoms and distances in Å follow each position.
Space group I4/mmm (No. 139)
Inequivalent atoms, fractional coordinates:
Cs: 0.0000 0.5000 0.2500  4 O 3.11
Np: 0.0000 0.0000 0.0000  2 O 1.88
Os: 0.0000 0.0000 0.5000  4 O 1.87
O: 0.0000 0.0000 0.1588  1 Np 1.88
O: 0.2270 0.2270 0.5000  1 Os 1.87

=====

(2)
A geometry-optimized CaTlAu10 structure. Source: the Alexandria database, functional PBE-GGA.

## Properties
crystal system: orthorhombic
electronic total energy: -39.61 eV for the cell shown
ΔH_f (0 K): -205 meV/atom

a = 4.6636 Å, b = 5.6866 Å, c = 9.7493 Å
α = 90.00°, β = 90.00°, γ = 90.00°
Closest atoms and distances in Å follow each position.
Space group Pmmm (No. 47)
Inequivalent atoms, fractional coordinates:
Ca: 0.0000 0.0000 0.0000  14 Au 3.25-3.59
Tl: 0.0000 0.5000 0.5000  6 Au 3.23-3.28
Au: 0.0000 0.0000 0.3333  6 Au 2.84-2.86
Au: 0.0000 0.5000 0.1686  6 Au 2.84-2.85
Au: 0.5000 0.0000 0.5000  8 Au 2.84-2.88
Au: 0.5000 0.2436 0.2414  8 Au 2.77-2.92
Au: 0.5000 0.5000 0.0000  8 Au 2.77-2.85

=====

(3)
A geometry-optimized MgHg3F8 structure. Source: the Alexandria database, functional PBE-GGA.

## Properties
crystal system: cubic
electronic total energy: -40.10 eV for the cell shown
ΔE_f (raw): -1.89 eV/atom

a = 5.4985 Å, b = 5.4985 Å, c = 5.4985 Å
α = 90.00°, β = 90.00°, γ = 90.00°
Closest atoms and distances in Å follow each position.
Space group Pm-3m (No. 221)
Inequivalent atoms, fractional coordinates:
Mg: 0.0000 0.0000 0.0000  8 F 2.24
Hg: 0.0000 0.5000 0.5000  8 F 2.43
F: 0.2354 0.2354 0.2354  1 Mg 2.24, 3 Hg 2.43

=====

(4)
A geometry-optimized AuCF3 structure. Source: the Alexandria database, functional PBE-GGA.

## Properties
crystal system: cubic
electronic total energy: -14.38 eV for the cell shown
relative energy among the computed polymorphs: 2.127 eV/f.u.
ΔE_f (raw): 0.75 eV/atom

a = 4.3041 Å, b = 4.3041 Å, c = 4.3041 Å
α = 90.00°, β = 90.00°, γ = 90.00°
Closest atoms and distances in Å follow each position.
Space group Pm-3m (No. 221)
Inequivalent atoms, fractional coordinates:
Au: 0.0000 0.0000 0.0000  6 F 2.15
C: 0.5000 0.5000 0.5000  12 F 3.04
F: 0.0000 0.0000 0.5000  2 Au 2.15